Record 1
Crystalline Be2SiNi3 at its relaxed geometry, computed with PBE-GGA.

The space group is P-3m1 (No. 164) and the conventional cell measures 3.8056, 3.8056 and 4.6563 Å, with angles of 90.00, 90.00 and 120.00 degrees. The asymmetric unit holds Be at (0.3333, 0.6667, 0.1593), Si at (0.0000, 0.0000, 0.5000), Ni at (0.0000, 0.0000, 0.0000) and Ni at (0.3333, 0.6667, 0.6715).

***

Record 2
Crystalline BeSi2Ni at its relaxed geometry, computed with PBE-GGA.

The space group is F-43m (No. 216) and the conventional cell measures 5.730, 5.730 and 5.730 Å, with angles of 90.00, 90.00 and 90.00 degrees. The asymmetric unit holds Be at (0.000, 0.000, 0.000), Si at (0.000, 0.000, 0.500), Si at (0.250, 0.250, 0.750) and Ni at (0.250, 0.250, 0.250).

***

Record 3
Crystalline BeSiNi2 at its relaxed geometry, computed with PBE-GGA.

The space group is F-43m (No. 216) and the conventional cell measures 5.494, 5.494 and 5.494 Å, with angles of 90.00, 90.00 and 90.00 degrees. The asymmetric unit holds Be at (0.000, 0.000, 0.000), Si at (0.250, 0.250, 0.250), Ni at (0.000, 0.000, 0.500) and Ni at (0.250, 0.250, 0.750).

***

Record 4
Crystalline Be4Si2Ni at its relaxed geometry, computed with PBE-GGA.

The space group is I4/mmm (No. 139) and the conventional cell measures 3.907, 3.907 and 11.688 Å, with angles of 90.00, 90.00 and 90.00 degrees. The asymmetric unit holds Be at (0.000, 0.000, 0.179), Be at (0.000, 0.500, 0.000), Si at (0.000, 0.000, 0.367) and Ni at (0.000, 0.000, 0.000).

***

Record 5
Crystalline Be3Si2Ni4 at its relaxed geometry, computed with PBE-GGA.

The space group is C2/m (No. 12) and the conventional cell measures 6.910, 3.658 and 7.150 Å, with angles of 90.00, 97.43 and 90.00 degrees. The asymmetric unit holds Be at (0.000, 0.000, 0.000), Be at (0.157, 0.500, 0.556), Si at (0.175, 0.500, 0.220), Ni at (0.021, 0.000, 0.331) and Ni at (0.168, 0.500, 0.884).

***

Record 6
Crystalline Be4SiNi7 at its relaxed geometry, computed with PBE-GGA.

The space group is C2/m (No. 12) and the conventional cell measures 10.765, 4.149 and 6.754 Å, with angles of 90.00, 125.28 and 90.00 degrees. The asymmetric unit holds Be at (0.046, 0.000, 0.210), Be at (0.191, 0.000, 0.860), Si at (0.000, 0.500, 0.500), Ni at (0.000, 0.000, 0.500), Ni at (0.069, 0.500, 0.904), Ni at (0.217, 0.500, 0.380) and Ni at (0.241, 0.000, 0.208).

***

Record 7
Crystalline Be4SiNi2 at its relaxed geometry, computed with PBE-GGA.

The space group is P6_3mc (No. 186) and the conventional cell measures 4.1286, 4.1286 and 8.5116 Å, with angles of 90.00, 90.00 and 120.00 degrees. The asymmetric unit holds Be at (0.0000, 0.0000, 0.0000), Be at (0.9997, 0.4998, 0.1291), Si at (0.3333, 0.6667, 0.3758), Ni at (0.0000, 0.0000, 0.2502) and Ni at (0.3333, 0.6667, 0.8875).

***

Record 8
Crystalline BeSiNi2 at its relaxed geometry, computed with PBE-GGA.

The space group is Cm (No. 8) and the conventional cell measures 8.202, 2.689 and 3.873 Å, with angles of 90.00, 106.64 and 90.00 degrees. The asymmetric unit holds Be at (0.000, 0.000, 0.000), Si at (0.253, 0.500, 0.356), Ni at (0.264, 0.000, 0.867) and Ni at (0.496, 0.000, 0.499).

***

Record 9
Crystalline BeSi2Ni at its relaxed geometry, computed with PBE-GGA.

The space group is Immm (No. 71) and the conventional cell measures 3.540, 3.588 and 7.136 Å, with angles of 90.00, 90.00 and 90.00 degrees. The asymmetric unit holds Be at (0.000, 0.000, 0.000), Si at (0.000, 0.500, 0.250) and Ni at (0.000, 0.000, 0.500).

***

Record 10
Crystalline BeSiNi at its relaxed geometry, computed with PBE-GGA.

The space group is F-43m (No. 216) and the conventional cell measures 5.244, 5.244 and 5.244 Å, with angles of 90.00, 90.00 and 90.00 degrees. The asymmetric unit holds Be at (0.000, 0.000, 0.000), Si at (0.000, 0.000, 0.500) and Ni at (0.250, 0.250, 0.750).

***

Record 11
Crystalline BeSiNi5 at its relaxed geometry, computed with PBE-GGA.

The space group is C2/c (No. 15) and the conventional cell measures 7.953, 5.156 and 8.255 Å, with angles of 90.00, 110.80 and 90.00 degrees. The asymmetric unit holds Be at (0.250, 0.250, 0.000), Si at (0.000, 0.091, 0.250), Ni at (0.000, 0.336, 0.750), Ni at (0.102, 0.343, 0.488) and Ni at (0.234, 0.389, 0.251).

***

Record 12
Crystalline BeSiNi2 at its relaxed geometry, computed with PBE-GGA.

The space group is I-4m2 (No. 119) and the conventional cell measures 3.322, 3.322 and 7.368 Å, with angles of 90.00, 90.00 and 90.00 degrees. The asymmetric unit holds Be at (0.000, 0.000, 0.000), Si at (0.000, 0.500, 0.750), Ni at (0.000, 0.000, 0.500) and Ni at (0.000, 0.500, 0.250).

***

Taking the records one at a time from the top gives total magnetization values of 0.0; 0.0; 0.0; 0.0; 0.0; 0.0; 0.0; 0.0; 0.0; 0.0; 0.0; 0.0 Bohr magnetons per cell.
Taking the records one at a time from the top gives electronic total energy values of -33.29; -77.85; -86.91; -55.20; -98.22; -124.70; -68.74; -45.15; -40.30; -62.77; -156.62; -45.12 eV/cell.